Record 1
GGA-PBE Co2Ir7Rh3, optimized geometry; total DFT energy (no corrections) = -0.5919 Ry per atom; calculated formation energy = 1.649 eV/f.u.
1.0
4.858 0.000 0.000
0.000 2.703 0.000
-1.507 0.000 12.986
Co Ir Rh
2 7 3
Direct
0.065 0.000 0.172
0.935 0.000 0.828
0.000 0.500 0.500
0.223 0.000 0.671
0.246 0.000 0.999
0.277 0.500 0.328
0.723 0.500 0.672
0.754 0.000 0.001
0.777 0.000 0.329
0.450 0.500 0.843
0.500 0.000 0.500
0.550 0.500 0.157

***

Record 2
GGA-PBE Co2Ir5Rh4, optimized geometry; total DFT energy (no corrections) = -0.5859 Ry per atom; calculated formation energy = 0.239 eV/f.u.
1.0
2.711 0.000 0.000
-0.006 6.596 0.000
-1.343 -2.262 8.517
Co Ir Rh
2 5 4
Direct
0.091 0.228 0.181
0.909 0.772 0.819
0.000 0.500 0.000
0.275 0.684 0.550
0.365 0.417 0.729
0.635 0.583 0.271
0.725 0.316 0.450
0.181 0.954 0.361
0.457 0.134 0.913
0.543 0.866 0.087
0.819 0.046 0.639

***

Record 3
GGA-PBE Co2IrRh2, optimized geometry; total DFT energy (no corrections) = -0.5361 Ry per atom; calculated formation energy = 1.302 eV/f.u.; energy relative to the lowest polymorph listed for this composition = 0.029 eV/atom
1.0
6.994 0.000 0.000
0.000 6.422 0.000
-1.511 0.000 6.052
Co Ir Rh
8 4 8
Direct
0.009 0.004 0.191
0.009 0.496 0.691
0.359 0.567 0.390
0.359 0.933 0.890
0.641 0.067 0.110
0.641 0.433 0.610
0.991 0.504 0.309
0.991 0.996 0.809
0.392 0.549 0.809
0.392 0.951 0.309
0.608 0.049 0.691
0.608 0.451 0.191
0.144 0.686 0.039
0.144 0.814 0.539
0.246 0.227 0.556
0.246 0.273 0.056
0.754 0.727 0.944
0.754 0.773 0.444
0.856 0.186 0.461
0.856 0.314 0.961

***

Record 4
GGA-PBE Co3Ir3Rh, optimized geometry; total DFT energy (no corrections) = -0.5772 Ry per atom; calculated formation energy = 0.280 eV/f.u.; energy relative to the lowest polymorph listed for this composition = 0.000 eV/atom
1.0
7.029 0.000 0.000
-3.515 6.087 0.000
0.000 0.000 4.285
Co Ir Rh
6 6 2
Direct
0.098 0.617 0.250
0.383 0.480 0.250
0.480 0.098 0.750
0.520 0.902 0.250
0.617 0.520 0.750
0.902 0.383 0.750
0.043 0.798 0.750
0.202 0.245 0.750
0.245 0.043 0.250
0.755 0.957 0.750
0.798 0.755 0.250
0.957 0.202 0.250
0.333 0.667 0.750
0.667 0.333 0.250

***

Record 5
GGA-PBE Co2IrRh, optimized geometry; total DFT energy (no corrections) = -0.5458 Ry per atom; calculated formation energy = 0.720 eV/f.u.; energy relative to the lowest polymorph listed for this composition = 0.135 eV/atom
1.0
-1.369 2.169 4.354
1.369 -2.169 4.354
1.369 2.169 -4.354
Co Ir Rh
2 1 1
Direct
0.000 0.000 0.000
0.780 0.280 0.500
0.249 0.749 0.500
0.525 0.525 0.000

***

Record 6
GGA-PBE CoIrRh2, optimized geometry; total DFT energy (no corrections) = -0.5440 Ry per atom; calculated formation energy = 1.063 eV/f.u.; energy relative to the lowest polymorph listed for this composition = 0.243 eV/atom
1.0
1.346 -2.313 0.000
1.346 2.313 0.000
0.000 0.000 9.003
Co Ir Rh
1 1 2
Direct
0.000 0.000 0.000
0.000 0.000 0.500
0.500 0.500 0.240
0.500 0.500 0.760

***

Record 7
GGA-PBE Co2Ir2Rh3, optimized geometry; total DFT energy (no corrections) = -0.5586 Ry per atom; calculated formation energy = 0.787 eV/f.u.
1.0
4.313 -1.347 0.000
4.313 1.347 0.000
-3.161 0.000 8.278
Co Ir Rh
2 2 3
Direct
0.222 0.222 0.366
0.778 0.778 0.634
0.454 0.454 0.232
0.546 0.546 0.768
0.000 0.000 0.500
0.328 0.328 0.910
0.672 0.672 0.090

***

Record 8
GGA-PBE CoIrRh2, optimized geometry; total DFT energy (no corrections) = -0.5606 Ry per atom; calculated formation energy = 0.158 eV/f.u.; energy relative to the lowest polymorph listed for this composition = 0.017 eV/atom
1.0
2.706 0.000 0.000
0.000 2.706 0.000
0.000 0.000 7.402
Co Ir Rh
1 1 2
Direct
0.000 0.000 0.000
0.000 0.000 0.500
0.500 0.500 0.240
0.500 0.500 0.760

***

Record 9
GGA-PBE Co2Ir5Rh, optimized geometry; total DFT energy (no corrections) = -0.5828 Ry per atom; calculated formation energy = 2.428 eV/f.u.
1.0
-3.212 3.212 5.370
3.212 -3.212 5.370
3.212 3.212 -5.370
Co Ir Rh
4 10 2
Direct
0.135 0.635 0.771
0.365 0.135 0.500
0.635 0.865 0.500
0.865 0.365 0.229
0.000 0.000 0.000
0.008 0.807 0.500
0.193 0.693 0.201
0.307 0.508 0.500
0.492 0.992 0.799
0.500 0.500 0.000
0.508 0.008 0.201
0.693 0.492 0.500
0.807 0.307 0.799
0.992 0.193 0.500
0.250 0.250 0.000
0.750 0.750 0.000

***

Record 10
GGA-PBE Co2IrRh, optimized geometry; total DFT energy (no corrections) = -0.5545 Ry per atom; calculated formation energy = 0.244 eV/f.u.; energy relative to the lowest polymorph listed for this composition = 0.016 eV/atom
1.0
2.650 0.000 0.000
0.000 2.650 0.000
0.000 0.000 7.198
Co Ir Rh
2 1 1
Direct
0.000 0.000 0.249
0.000 0.000 0.751
0.500 0.500 0.000
0.500 0.500 0.500

***

Record 11
GGA-PBE Co2Ir7Rh2, optimized geometry; total DFT energy (no corrections) = -0.5861 Ry per atom; calculated formation energy = 3.226 eV/f.u.; energy relative to the lowest polymorph listed for this composition = 0.000 eV/atom
1.0
4.488 -4.411 0.000
4.488 4.411 0.000
-2.455 0.000 4.028
Co Ir Rh
2 7 2
Direct
0.210 0.210 0.003
0.790 0.790 0.997
0.080 0.572 0.822
0.122 0.122 0.418
0.428 0.920 0.178
0.500 0.500 0.000
0.572 0.080 0.822
0.878 0.878 0.582
0.920 0.428 0.178
0.334 0.666 0.500
0.666 0.334 0.500

***

Record 12
GGA-PBE Co3Ir12Rh, optimized geometry; total DFT energy (no corrections) = -0.6178 Ry per atom; calculated formation energy = 0.502 eV/f.u.
1.0
3.817 0.000 0.000
0.000 3.817 0.000
0.000 0.000 15.259
Co Ir Rh
3 12 1
Direct
0.000 0.000 0.000
0.000 0.000 0.247
0.000 0.000 0.753
0.000 0.500 0.124
0.000 0.500 0.372
0.000 0.500 0.628
0.000 0.500 0.876
0.500 0.000 0.124
0.500 0.000 0.372
0.500 0.000 0.628
0.500 0.000 0.876
0.500 0.500 0.000
0.500 0.500 0.248
0.500 0.500 0.500
0.500 0.500 0.752
0.000 0.000 0.500